Entry from the Alexandria database: a relaxed structure of La3VGa2O9 (GGA+U).

## Properties
Calculated volume = 12.12 Å³ per atom
VASP energy = -0.27520 hartree per atom
Crystal system = trigonal
Size of the total moment = 0.133 μB per atom

Cell lengths 5.5633, 5.5633, 6.7820 Å; angles 90.00, 90.00, 120.00 degrees
Space group P-3m1 (No. 164)
Inequivalent atoms, fractional coordinates:
La 0.0000 0.0000 0.0000 (multiplicity 1)
La 0.3333 0.6667 0.6647 (multiplicity 2)
V 0.0000 0.0000 0.5000 (multiplicity 1)
Ga 0.3333 0.6667 0.1649 (multiplicity 2)
O 0.0000 0.5000 0.0000 (multiplicity 3)
O 0.1689 0.3377 0.3330 (multiplicity 6)